Computed, not measured: a crystal of ReMo2 relaxed with PBEsol at the SCAN level of DFT.

The structure in extended XYZ format:
```
3
Lattice="2.703 0.000 0.000 0.000 4.390 0.000 0.000 -2.195 3.802" Properties=species:S:1:pos:R:3 pbc="T T T"
Mo 0.894 2.195 1.267
Mo 1.808 0.000 2.535
Re 0.000 0.000 0.000
```

Results
Fermi-level density of states: 2.269 states/eV/f.u.
polymorph energy (0 for the lowest one): 0.0 meV/atom
formation energy: 1.2 kJ per mole of atoms